No. 1
MgZn4Au4: relaxed, GGA-PBE.

It has space group P4_2/nmc (No. 137, origin choice 2), with a = 6.9605 Å, b = 6.9605 Å, c = 7.2092 Å, α = 90.00°, β = 90.00° and γ = 90.00°. The inequivalent atoms are Mg at (0.2500, 0.7500, 0.2500), Zn at (0.0348, 0.7500, 0.6242) and Au at (0.0445, 0.2500, 0.0117).


No. 2
Mg3Zn2Au3: relaxed, GGA-PBE.

Its relative energy among the computed polymorphs is 0.0 kJ per mole of atoms.

It has space group P6_3/mcm (No. 193), with a = 7.9855 Å, b = 7.9855 Å, c = 5.2864 Å, α = 90.00°, β = 90.00° and γ = 120.00°. The inequivalent atoms are Mg at (0.0000, 0.2525, 0.2500), Zn at (0.3333, 0.6667, 0.0000) and Au at (0.0000, 0.3901, 0.7500).


No. 3
MgZnAu: relaxed, GGA-PBE.

It has space group Cmcm (No. 63), with a = 4.3158 Å, b = 9.4909 Å, c = 5.2855 Å, α = 90.00°, β = 90.00° and γ = 90.00°. The inequivalent atoms are Mg at (0.0000, 0.2093, 0.2500), Zn at (0.0000, 0.5000, 0.0000) and Au at (0.0000, 0.0986, 0.7500).


No. 4
MgZn5Au6: relaxed, GGA-PBE.

It has space group C2/m (No. 12), with a = 4.5085 Å, b = 13.5201 Å, c = 6.4879 Å, α = 90.00°, β = 90.79° and γ = 90.00°. The inequivalent atoms are Mg at (0.0000, 0.0000, 0.0000), Zn at (0.0000, 0.0000, 0.5000), Zn at (0.0000, 0.3359, 0.5000), Zn at (0.0000, 0.3373, 0.0000), Au at (0.0007, 0.1707, 0.2513) and Au at (0.0016, 0.5000, 0.2558).


Calculated DFT formation energy, -1.52; -3.46; -1.24; -3.36 eV per formula unit (same order as the records).
Calculated magnetic moment, 0.00; 0.00; 0.00; 0.00 μB per formula unit (same order as the records).